[1]
Entry from the Alexandria database: an optimized crystal structure of Ca2MnCSe (GGA-PBE).

Properties
ΔE_f (raw) = -0.507 eV/atom
Space group = P4/mmm (123)

abc: 5.144 5.144 3.846
angles: 90.00 90.00 90.00
Fractional positions:
Ca (0.000, 0.500, 0.000)
Ca (0.500, 0.000, 0.000)
Mn (0.000, 0.000, 0.500)
C (0.000, 0.000, 0.000)
Se (0.500, 0.500, 0.500)


[2]
Entry from the Alexandria database: an optimized crystal structure of Ca2Mn2Si2C (GGA-PBE).

Properties
ΔE_f (raw) = -0.319 eV/atom
Space group = I4/mmm (139)

abc: 8.047 8.047 8.047
angles: 152.00 152.00 40.01
Fractional positions:
Ca (0.167, 0.167, 0.000)
Ca (0.833, 0.833, 0.000)
Mn (0.000, 0.500, 0.500)
Mn (0.500, 0.000, 0.500)
Si (0.402, 0.402, 0.000)
Si (0.598, 0.598, 0.000)
C (0.000, 0.000, 0.000)


[3]
Entry from the Alexandria database: an optimized crystal structure of CaMn2Si2C (GGA-PBE).

Properties
ΔE_f (raw) = -0.316 eV/atom
Space group = P4/mmm (123)

abc: 3.881 3.881 5.302
angles: 90.00 90.00 90.00
Fractional positions:
Ca (0.000, 0.000, 0.000)
Mn (0.000, 0.500, 0.500)
Mn (0.500, 0.000, 0.500)
Si (0.500, 0.500, 0.233)
Si (0.500, 0.500, 0.767)
C (0.000, 0.000, 0.500)


[4]
Entry from the Alexandria database: an optimized crystal structure of CaMnSn2C (GGA-PBE).

Properties
Space group = P4/mmm (123)
E_form = 0.374 eV per atom

abc: 5.155 5.155 3.933
angles: 90.00 90.00 90.00
Fractional positions:
Ca (0.000, 0.000, 0.000)
Mn (0.500, 0.500, 0.000)
Sn (0.000, 0.500, 0.500)
Sn (0.500, 0.000, 0.500)
C (0.500, 0.500, 0.500)


[5]
Entry from the Alexandria database: an optimized crystal structure of CaMnTl2C (GGA-PBE).

Properties
Space group = P4/mmm (123)
E_form = 1.570 eV per atom

abc: 5.993 5.993 4.254
angles: 90.00 90.00 90.00
Fractional positions:
Ca (0.000, 0.000, 0.000)
Mn (0.500, 0.500, 0.500)
Tl (0.000, 0.500, 0.000)
Tl (0.500, 0.000, 0.000)
C (0.000, 0.000, 0.500)


[6]
Entry from the Alexandria database: an optimized crystal structure of CaMnZnC (GGA-PBE).

Properties
Space group = P4/nmm (129)
E_form = -0.069 eV per atom

abc: 3.573 3.573 10.359
angles: 90.00 90.00 90.00
Fractional positions:
Ca (0.250, 0.250, 0.232)
Ca (0.750, 0.750, 0.768)
Mn (0.250, 0.750, 0.000)
Mn (0.750, 0.250, 0.000)
Zn (0.250, 0.750, 0.500)
Zn (0.750, 0.250, 0.500)
C (0.250, 0.250, 0.924)
C (0.750, 0.750, 0.076)


[7]
Entry from the Alexandria database: an optimized crystal structure of Ca3MoC (GGA-PBE).

Properties
Space group = Pm-3m (221)
E_form = 0.835 eV per atom
Energy relative to the lowest polymorph listed for this composition = 0.0 meV/atom

abc: 5.065 5.065 5.065
angles: 90.00 90.00 90.00
Fractional positions:
Ca (0.000, 0.000, 0.500)
Ca (0.000, 0.500, 0.000)
Ca (0.500, 0.000, 0.000)
Mo (0.500, 0.500, 0.500)
C (0.000, 0.000, 0.000)


[8]
Entry from the Alexandria database: an optimized crystal structure of CaMoC2 (GGA-PBE).

Properties
Space group = I-42d (122)
E_form = 0.279 eV per atom
Energy relative to the lowest polymorph listed for this composition = 10.0 meV/atom

abc: 5.860 5.860 5.860
angles: 124.31 124.31 82.68
Fractional positions:
Ca (0.000, 0.000, 0.000)
Ca (0.750, 0.250, 0.500)
Mo (0.250, 0.750, 0.500)
Mo (0.500, 0.500, 0.000)
C (0.212, 0.625, 0.087)
C (0.375, 0.462, 0.587)
C (0.538, 0.125, 0.913)
C (0.875, 0.788, 0.413)


[9]
Entry from the Alexandria database: an optimized crystal structure of CaMo2C (GGA-PBE).

Properties
Space group = Fd-3m (227)
E_form = 0.756 eV per atom

abc: 6.280 6.280 6.280
angles: 60.00 60.00 60.00
Fractional positions:
Ca (0.125, 0.125, 0.125)
Ca (0.875, 0.875, 0.875)
Mo (0.000, 0.500, 0.500)
Mo (0.500, 0.000, 0.500)
Mo (0.500, 0.500, 0.000)
Mo (0.500, 0.500, 0.500)
C (0.375, 0.375, 0.375)
C (0.625, 0.625, 0.625)


[10]
Entry from the Alexandria database: an optimized crystal structure of CaMoC2 (GGA-PBE).

Properties
Space group = Fm-3m (225)
E_form = 1.349 eV per atom
Energy relative to the lowest polymorph listed for this composition = 1080.4 meV/atom

abc: 4.060 4.060 4.060
angles: 60.00 60.00 60.00
Fractional positions:
Ca (0.000, 0.000, 0.000)
Mo (0.500, 0.500, 0.500)
C (0.250, 0.250, 0.250)
C (0.750, 0.750, 0.750)


[11]
Entry from the Alexandria database: an optimized crystal structure of Ca3MoC (GGA-PBE).

Properties
Space group = Pm-3m (221)
E_form = 1.933 eV per atom
Energy relative to the lowest polymorph listed for this composition = 1097.7 meV/atom

abc: 5.363 5.363 5.363
angles: 90.00 90.00 90.00
Fractional positions:
Ca (0.000, 0.000, 0.500)
Ca (0.000, 0.500, 0.000)
Ca (0.500, 0.000, 0.000)
Mo (0.000, 0.000, 0.000)
C (0.500, 0.500, 0.500)


[12]
Entry from the Alexandria database: an optimized crystal structure of Ca2MoC (GGA-PBE).

Properties
Space group = I-42d (122)
E_form = 0.520 eV per atom

abc: 7.277 7.277 7.277
angles: 94.54 94.54 147.33
Fractional positions:
Ca (0.375, 0.047, 0.172)
Ca (0.797, 0.625, 0.672)
Ca (0.875, 0.203, 0.828)
Ca (0.953, 0.125, 0.328)
Mo (0.250, 0.750, 0.500)
Mo (0.500, 0.500, 0.000)
C (0.000, 0.000, 0.000)
C (0.750, 0.250, 0.500)